VASP calculation (PBE) on a relaxed Ag2S2N crystal.

## Properties
energy above the lowest structure with this stoichiometry	361	meV/atom
total moment	1.0	μB per cell
E_form (uncorrected)	1.15	eV/atom
symmetry	I4/mmm, No. 139

Structure (POSCAR):
```
Ag2S2N
1.0
-1.638 1.638 8.100
1.638 -1.638 8.100
1.638 1.638 -8.100
Ag S N
2 2 1
Direct
0.081 0.081 0.000
0.919 0.919 0.000
0.250 0.750 0.500
0.750 0.250 0.500
0.500 0.500 0.000
```